This record from Alexandria describes TiTlAgC2 after structural relaxation. The functional is PBE.

Structure (POSCAR):
```
TiTlAgC2
1.0
4.338 0.000 0.000
0.000 4.338 0.000
0.000 0.000 5.411
Ti Tl Ag C
1 1 1 2
Direct
0.000 0.000 0.000
0.000 0.000 0.500
0.500 0.500 0.000
0.000 0.500 0.500
0.500 0.000 0.500
```

Output
* V: 20.4 Å³ per atom
* calculated total energy: -0.1305 hartree per atom
* energy of formation: 13.80 eV per formula unit
* size of the total moment: 0.8 μB/f.u.